1.
A plane-wave DFT calculation with PBE was carried out for PuNpTc after structural relaxation.

For the formation energy from the elements, the calculation gives 0.2262 eV per atom. The crystal system is orthorhombic. The relative energy among the computed polymorphs is 160 meV/atom.

The structure belongs to space group Cmce (No. 64); the cell edges are 5.6428, 13.1739 and 5.8430 Å and the angles 90.00°, 90.00° and 90.00°. The asymmetric unit holds Pu at (0.0000, 0.1430, 0.2404), Np at (0.0000, 0.1806, 0.8318) and Tc at (0.2343, 0.0000, 0.5000).

=====

2.
A plane-wave DFT calculation with PBE was carried out for LaZnRe2 after structural relaxation.

For the formation energy from the elements, the calculation gives 0.6482 eV per atom. The crystal system is monoclinic.

The structure belongs to space group P2/m (No. 10); the cell edges are 5.0636, 2.9600 and 5.0993 Å and the angles 90.00°, 108.55° and 90.00°. The asymmetric unit holds La at (0.0000, 0.0000, 0.0000), Zn at (0.0000, 0.5000, 0.5000), Re at (0.5000, 0.0000, 0.5000) and Re at (0.5000, 0.5000, 0.0000).